#one
## PIF2 (PBE-GGA)

Data for crystalline PIF2 at its relaxed geometry.

abc: 6.278 6.278 6.278
angles: 90.00 90.00 90.00
Space group Fm-3m (No. 225)
Asymmetric unit:
P (0.000, 0.000, 0.000) x4
I (0.000, 0.000, 0.500) x4
F (0.250, 0.250, 0.250) x8


#two
## PIF2 (PBE-GGA)

Data for crystalline PIF2 at its relaxed geometry.

abc: 3.1329 3.1329 29.9935
angles: 90.00 90.00 120.00
Space group R-3m (No. 166, hexagonal axes)
Asymmetric unit:
P (0.0000, 0.0000, 0.0000) x3
I (0.0000, 0.0000, 0.5000) x3
F (0.0000, 0.0000, 0.0558) x6


#three
## PIF2 (PBE-GGA)

Data for crystalline PIF2 at its relaxed geometry.

abc: 4.825 4.825 13.145
angles: 90.00 90.00 90.00
Space group I4_1/amd (No. 141, origin choice 2)
Asymmetric unit:
P (0.000, 0.250, 0.375) x4
I (0.000, 0.250, 0.875) x4
F (0.000, 0.000, 0.500) x8


Relative energies, unit eV/atom: #one 0.868; #two 0.000; #three 0.430


#one
## PS2IF (PBE-GGA)

Data for crystalline PS2IF at its relaxed geometry.

abc: 5.330 5.330 3.632
angles: 90.00 90.00 90.00
Space group P4/mmm (No. 123)
Asymmetric unit:
P (0.000, 0.000, 0.000) x1
S (0.000, 0.500, 0.500) x2
I (0.500, 0.500, 0.000) x1
F (0.000, 0.000, 0.500) x1


#two
## PS2IF (PBE-GGA)

Data for crystalline PS2IF at its relaxed geometry.

abc: 5.067 5.067 5.435
angles: 90.00 90.00 90.00
Space group P4/mmm (No. 123)
Asymmetric unit:
P (0.000, 0.000, 0.000) x1
S (0.000, 0.500, 0.500) x2
I (0.000, 0.000, 0.500) x1
F (0.500, 0.500, 0.000) x1


Relative energies, unit eV/atom: #one 0.000; #two 0.360


#one
## PaIF (PBE-GGA)

Data for crystalline PaIF at its relaxed geometry.

abc: 3.550 5.772 8.243
angles: 76.94 89.07 89.98
Space group P-1 (No. 2)
Asymmetric unit:
Pa (0.250, 0.239, 0.499) x2
I (0.261, 0.689, 0.203) x2
F (0.243, 0.848, 0.689) x2


#two
## PaIF (PBE-GGA)

Data for crystalline PaIF at its relaxed geometry.

abc: 3.5970 3.5970 7.1855
angles: 90.00 90.00 120.00
Space group P3m1 (No. 156)
Asymmetric unit:
Pa (0.0000, 0.0000, 0.0000) x1
I (0.6667, 0.3333, 0.3179) x1
F (0.3333, 0.6667, 0.8027) x1


Relative energies, unit eV/atom: #one 0.000; #two 0.102